1.
# PtRhCl2 PBE optimized geometry
data_PtRhCl2
_chemical_formula_sum 'Pt4 Rh4 Cl8'
_cell_length_a 6.414
_cell_length_b 6.414
_cell_length_c 6.414
_cell_angle_alpha 90.00
_cell_angle_beta 90.00
_cell_angle_gamma 90.00
_space_group_name_H-M_alt 'F m -3 m'
_space_group_IT_number 225
_space_group_name_Hall '-F 4 2 3'
loop_
_atom_site_label
_atom_site_fract_x
_atom_site_fract_y
_atom_site_fract_z
Pt1 0.000 0.000 0.000
Rh1 0.000 0.000 0.500
Cl1 0.250 0.250 0.250
# * DOS(E_F): 21.11 states/eV per cell
# * M_tot: 1.00 μB per formula unit
# * raw formation energy: 751.2 meV per atom
# * electronic total energy: -3.5202 eV/atom
# * relative energy among the computed polymorphs: 0.864 eV per atom

***

2.
# ThCuGe PBE optimized geometry
data_ThCuGe
_chemical_formula_sum 'Th1 Cu1 Ge1'
_cell_length_a 4.2009
_cell_length_b 4.2009
_cell_length_c 4.1277
_cell_angle_alpha 90.00
_cell_angle_beta 90.00
_cell_angle_gamma 120.00
_space_group_name_H-M_alt 'P 3 m 1'
_space_group_IT_number 156
loop_
_space_group_symop_operation_xyz
'x,y,z'
'-y,x-y,z'
'-x+y,-x,z'
'-y,-x,z'
'-x+y,y,z'
'x,x-y,z'
loop_
_atom_site_label
_atom_site_fract_x
_atom_site_fract_y
_atom_site_fract_z
Th1 0.0000 0.0000 0.0000
Cu1 0.3333 0.6667 0.4990
Ge1 0.6667 0.3333 0.5003
# * DOS(E_F): 2.94 states/eV per cell
# * M_tot: 0.00 μB per formula unit
# * formation energy from the elements: -621 meV/atom
# * electronic total energy: -5.9989 eV/atom

***

3.
# BaHgO2F PBE optimized geometry
data_BaHgO2F
_chemical_formula_sum 'Ba1 Hg1 O2 F1'
_cell_length_a 4.266
_cell_length_b 4.266
_cell_length_c 4.758
_cell_angle_alpha 90.00
_cell_angle_beta 90.00
_cell_angle_gamma 90.00
_space_group_name_H-M_alt 'P 4/m m m'
_space_group_IT_number 123
_space_group_name_Hall '-P 4 2'
loop_
_atom_site_label
_atom_site_fract_x
_atom_site_fract_y
_atom_site_fract_z
Ba1 0.000 0.000 0.000
Hg1 0.500 0.500 0.500
O1 0.000 0.500 0.500
F1 0.500 0.500 0.000
# * DOS(E_F): 1.83 states/eV per cell
# * M_tot: 0.00 μB per formula unit
# * raw formation energy: -1527.3 meV per atom
# * electronic total energy: -4.3298 eV/atom

***

4.
# Y6Ho5Tm2 PBE optimized geometry
data_Y6Ho5Tm2
_chemical_formula_sum 'Y12 Ho10 Tm4'
_cell_length_a 11.601
_cell_length_b 20.174
_cell_length_c 3.559
_cell_angle_alpha 90.00
_cell_angle_beta 90.00
_cell_angle_gamma 90.00
_space_group_name_H-M_alt 'P b a m'
_space_group_IT_number 55
loop_
_space_group_symop_operation_xyz
'x,y,z'
'-x,-y,-z'
'-x,-y,z'
'x,y,-z'
'x+1/2,-y+1/2,-z'
'-x+1/2,y+1/2,z'
'-x+1/2,y+1/2,-z'
'x+1/2,-y+1/2,z'
loop_
_atom_site_label
_atom_site_fract_x
_atom_site_fract_y
_atom_site_fract_z
Y1 0.058 0.082 0.000
Y2 0.085 0.369 0.000
Y3 0.172 0.637 0.500
Ho1 0.000 0.500 0.500
Ho2 0.090 0.228 0.500
Ho3 0.199 0.950 0.500
Tm1 0.165 0.791 0.000
# * DOS(E_F): 32.96 states/eV per cell
# * M_tot: 0.00 μB per formula unit
# * formation energy from the elements: 105 meV/atom
# * electronic total energy: -5.3274 eV/atom

***

Question: Which formula does entry 4 have?
Answer: Y6Ho5Tm2